[1]
The following is a DFT calculation (GGA-PBE) of an optimized crystal structure of Sr2TcPtPb.

a = 5.4936 Å, b = 5.1900 Å, c = 5.4936 Å
α = 90.00°, β = 90.00°, γ = 90.00°
Last column: nearest neighbours and their distance in Å.
Element x y z (fractional)
Pb 0.0000 0.5000 0.0000  2 Tc 2.59
Pt 0.5000 0.5000 0.5000  8 Sr 3.78, 4 Pb 3.88
Sr 0.5000 0.0000 0.0000  2 Tc 2.75
Sr 0.0000 0.0000 0.5000  2 Tc 2.75
Tc 0.0000 0.0000 0.0000  2 Pb 2.59, 4 Sr 2.75

Values from the calculation:
The total energy comes out at -4.181 eV per atom. For the formation energy, the calculation gives 49.7 kJ per mole of atoms. Its symmetry is P4/mmm. As for the density of states at the Fermi level: 4.51 states/eV/cell.

[2]
The following is a DFT calculation (GGA-PBE) of an optimized crystal structure of Sr2TcPtPb.

a = 5.8292 Å, b = 4.8449 Å, c = 5.8292 Å
α = 90.00°, β = 90.00°, γ = 90.00°
Last column: nearest neighbours and their distance in Å.
Element x y z (fractional)
Pb 0.5000 0.5000 0.5000  8 Sr 3.79, 4 Tc 4.12
Pt 0.0000 0.0000 0.0000  2 Tc 2.42
Sr 0.0000 0.0000 0.5000  2 Pt 2.91
Sr 0.5000 0.0000 0.0000  2 Pt 2.91
Tc 0.0000 0.5000 0.0000  2 Pt 2.42

Values from the calculation:
The total energy comes out at -4.497 eV per atom. For the formation energy, the calculation gives 19.2 kJ per mole of atoms. Its symmetry is P4/mmm. As for the density of states at the Fermi level: 6.04 states/eV/cell.

[3]
The following is a DFT calculation (GGA-PBE) of an optimized crystal structure of Sr2TlPtPb.

a = 5.8039 Å, b = 5.8039 Å, c = 5.2666 Å
α = 90.00°, β = 90.00°, γ = 90.00°
Last column: nearest neighbours and their distance in Å.
Element x y z (fractional)
Tl 0.0000 0.0000 0.5000  2 Pt 2.63
Pt 0.0000 0.0000 0.0000  2 Tl 2.63, 4 Sr 2.90
Sr 0.5000 0.0000 0.0000  2 Pt 2.90
Sr 0.0000 0.5000 0.0000  2 Pt 2.90
Pb 0.5000 0.5000 0.5000  8 Sr 3.92, 4 Tl 4.10

Values from the calculation:
The total energy comes out at -3.535 eV per atom. For the formation energy, the calculation gives -42.3 kJ per mole of atoms. Its symmetry is P4/mmm. As for the density of states at the Fermi level: 3.53 states/eV/cell.

[4]
The following is a DFT calculation (GGA-PBE) of an optimized crystal structure of Sr2TlPtPb.

a = 5.9133 Å, b = 5.9133 Å, c = 5.2120 Å
α = 90.00°, β = 90.00°, γ = 90.00°
Last column: nearest neighbours and their distance in Å.
Element x y z (fractional)
Tl 0.5000 0.5000 0.5000  8 Sr 3.94, 4 Pb 4.18
Sr 0.5000 0.0000 0.0000  2 Pt 2.96
Sr 0.0000 0.5000 0.0000  2 Pt 2.96
Pb 0.0000 0.0000 0.5000  2 Pt 2.61
Pt 0.0000 0.0000 0.0000  2 Pb 2.61

Values from the calculation:
The total energy comes out at -3.523 eV per atom. For the formation energy, the calculation gives -41.2 kJ per mole of atoms. Its symmetry is P4/mmm. As for the density of states at the Fermi level: 3.58 states/eV/cell.

[5]
The following is a DFT calculation (GGA-PBE) of an optimized crystal structure of Sr2YPt4Pb3.

a = 4.7866 Å, b = 4.7866 Å, c = 11.3675 Å
α = 90.00°, β = 90.00°, γ = 90.00°
Last column: nearest neighbours and their distance in Å.
Element x y z (fractional)
Pt 0.0000 0.0000 0.0000  4 Pb 2.77
Pt 0.5000 0.0000 0.6383  3 Pb 2.72-2.86, 2 Y 2.86
Pt 0.0000 0.5000 0.3617  3 Pb 2.72-2.86, 2 Y 2.86
Pt 0.5000 0.5000 0.0000  4 Pb 2.77
Y 0.5000 0.5000 0.5000  4 Pt 2.86
Pb 0.0000 0.5000 0.1223  5 Pt 2.72-2.77
Pb 0.0000 0.0000 0.5000  4 Pt 2.86
Pb 0.5000 0.0000 0.8777  5 Pt 2.72-2.77
Sr 0.5000 0.0000 0.2217  8 Pt 3.48-3.74, 4 Pb 3.57
Sr 0.0000 0.5000 0.7783  8 Pt 3.48-3.74, 4 Pb 3.57

Values from the calculation:
The total energy comes out at -5.138 eV per atom. For the formation energy, the calculation gives -60.4 kJ per mole of atoms. Its symmetry is P-4m2. As for the density of states at the Fermi level: 5.09 states/eV/cell.

[6]
The following is a DFT calculation (GGA-PBE) of an optimized crystal structure of SrZnPtPb2.

a = 5.5219 Å, b = 4.9217 Å, c = 5.5219 Å
α = 90.00°, β = 90.00°, γ = 90.00°
Last column: nearest neighbours and their distance in Å.
Element x y z (fractional)
Sr 0.5000 0.5000 0.5000  8 Pb 3.70, 4 Zn 3.90
Pb 0.0000 0.0000 0.5000  2 Pt 2.76
Pb 0.5000 0.0000 0.0000  2 Pt 2.76
Zn 0.0000 0.5000 0.0000  2 Pt 2.46
Pt 0.0000 0.0000 0.0000  2 Zn 2.46

Values from the calculation:
The total energy comes out at -3.449 eV per atom. For the formation energy, the calculation gives -16.1 kJ per mole of atoms. Its symmetry is P4/mmm. As for the density of states at the Fermi level: 3.81 states/eV/cell.

[7]
The following is a DFT calculation (GGA-PBE) of an optimized crystal structure of Sr2Zn3Pt4Pb.

a = 4.3735 Å, b = 4.3735 Å, c = 11.1200 Å
α = 90.00°, β = 90.00°, γ = 90.00°
Last column: nearest neighbours and their distance in Å.
Element x y z (fractional)
Pt 0.0000 0.5000 0.3506  3 Zn 2.53-2.75, 2 Pb 2.75
Pt 0.5000 0.5000 0.0000  4 Zn 2.58
Pt 0.5000 0.0000 0.6494  3 Zn 2.53-2.75, 2 Pb 2.75
Pt 0.0000 0.0000 0.0000  4 Zn 2.58
Zn 0.5000 0.0000 0.8770  5 Pt 2.53-2.58
Zn 0.0000 0.5000 0.1230  5 Pt 2.53-2.58
Zn 0.0000 0.0000 0.5000  4 Pt 2.75
Sr 0.5000 0.0000 0.2304  6 Zn 3.31-3.71, 8 Pt 3.37, 2 Pb 3.71
Sr 0.0000 0.5000 0.7696  6 Zn 3.31-3.71, 8 Pt 3.37, 2 Pb 3.71
Pb 0.5000 0.5000 0.5000  4 Pt 2.75

Values from the calculation:
The total energy comes out at -4.125 eV per atom. For the formation energy, the calculation gives -59.7 kJ per mole of atoms. Its symmetry is P-4m2. As for the density of states at the Fermi level: 3.21 states/eV/cell.

[8]
The following is a DFT calculation (GGA-PBE) of an optimized crystal structure of Sr2ZnPtPb.

a = 5.8389 Å, b = 5.8389 Å, c = 4.8590 Å
α = 90.00°, β = 90.00°, γ = 90.00°
Last column: nearest neighbours and their distance in Å.
Element x y z (fractional)
Sr 0.5000 0.0000 0.0000  2 Pt 2.92
Sr 0.0000 0.5000 0.0000  2 Pt 2.92
Pb 0.5000 0.5000 0.5000  8 Sr 3.80, 4 Zn 4.13
Pt 0.0000 0.0000 0.0000  2 Zn 2.43
Zn 0.0000 0.0000 0.5000  2 Pt 2.43

Values from the calculation:
The total energy comes out at -3.314 eV per atom. For the formation energy, the calculation gives -42.1 kJ per mole of atoms. Its symmetry is P4/mmm. As for the density of states at the Fermi level: 4.21 states/eV/cell.

[9]
The following is a DFT calculation (GGA-PBE) of an optimized crystal structure of TaPtPb2.

a = 3.2684 Å, b = 3.2684 Å, c = 9.0345 Å
α = 90.00°, β = 90.00°, γ = 90.00°
Last column: nearest neighbours and their distance in Å.
Element x y z (fractional)
Pt 0.0000 0.0000 0.5475  4 Ta 2.68
Pb 0.5000 0.5000 0.3046  4 Pt 3.19, 4 Pb 3.27, 1 Ta 3.54
Pb 0.0000 0.0000 0.9511  4 Ta 3.26, 4 Pb 3.27, 1 Pt 3.65
Ta 0.5000 0.5000 0.6968  4 Pt 2.68

Values from the calculation:
The total energy comes out at -6.403 eV per atom. For the formation energy, the calculation gives -7.3 kJ per mole of atoms. Its symmetry is P4mm. As for the density of states at the Fermi level: 2.06 states/eV/cell.

[10]
The following is a DFT calculation (GGA-PBE) of an optimized crystal structure of TaPtPb2.

a = 5.7702 Å, b = 5.7702 Å, c = 5.7702 Å
α = 138.07°, β = 138.07°, γ = 60.80°
Last column: nearest neighbours and their distance in Å.
Element x y z (fractional)
Pb 0.2500 0.7500 0.5000  4 Ta 2.92, 4 Pt 3.23, 4 Pb 3.23
Pb 0.0000 0.0000 0.0000  4 Pt 2.92, 4 Ta 3.23, 4 Pb 3.23
Ta 0.7500 0.2500 0.5000  8 Pb 2.92-3.23, 4 Pt 3.23
Pt 0.5000 0.5000 0.0000  8 Pb 2.92-3.23, 4 Ta 3.23

Values from the calculation:
The total energy comes out at -5.924 eV per atom. For the formation energy, the calculation gives 38.9 kJ per mole of atoms. Its symmetry is I-4m2. As for the density of states at the Fermi level: 1.74 states/eV/cell.

[11]
The following is a DFT calculation (GGA-PBE) of an optimized crystal structure of TaPtPb3.

a = 5.4414 Å, b = 5.4414 Å, c = 5.4414 Å
α = 90.00°, β = 90.00°, γ = 90.00°
Last column: nearest neighbours and their distance in Å.
Element x y z (fractional)
Ta 0.0000 0.0000 0.0000  6 Pb 2.72
Pb 0.0000 0.5000 0.0000  2 Ta 2.72
Pb 0.5000 0.0000 0.0000  2 Ta 2.72
Pb 0.0000 0.0000 0.5000  2 Ta 2.72
Pt 0.5000 0.5000 0.5000  12 Pb 3.85

Values from the calculation:
The total energy comes out at -4.782 eV per atom. For the formation energy, the calculation gives 98.6 kJ per mole of atoms. Its symmetry is Pm-3m. As for the density of states at the Fermi level: 11.60 states/eV/cell.

[12]
The following is a DFT calculation (GGA-PBE) of an optimized crystal structure of TaPt2Pb.

a = 5.0977 Å, b = 6.5475 Å, c = 3.0243 Å
α = 62.53°, β = 89.98°, γ = 120.36°
Last column: nearest neighbours and their distance in Å.
Element x y z (fractional)
Pt 0.0000 0.0000 0.0000  4 Pt 2.90-3.02, 4 Ta 2.96, 4 Pb 2.96
Pt 0.0000 0.5000 0.5000  4 Pt 2.90-3.02, 4 Pb 2.96, 4 Ta 2.96
Pb 0.5000 0.0000 0.5000  2 Ta 2.90, 8 Pt 2.96, 2 Pb 3.02
Ta 0.5000 0.5000 0.0000  2 Pb 2.90, 8 Pt 2.96, 2 Ta 3.02

Values from the calculation:
The total energy comes out at -6.954 eV per atom. For the formation energy, the calculation gives -4.2 kJ per mole of atoms. Its symmetry is Cmmm. As for the density of states at the Fermi level: 3.36 states/eV/cell.

[13]
The following is a DFT calculation (GGA-PBE) of an optimized crystal structure of TaPt4Pb.

a = 5.3516 Å, b = 5.3516 Å, c = 5.3516 Å
α = 60.00°, β = 60.00°, γ = 60.00°
Last column: nearest neighbours and their distance in Å.
Element x y z (fractional)
Ta 0.7500 0.7500 0.7500  12 Pt 3.14, 4 Pb 3.28
Pt 0.3758 0.3758 0.8727  6 Pt 2.66-2.69
Pt 0.3758 0.8727 0.3758  6 Pt 2.66-2.69
Pt 0.8727 0.3758 0.3758  6 Pt 2.66-2.69
Pt 0.3758 0.3758 0.3758  6 Pt 2.66-2.69
Pb 0.0000 0.0000 0.0000  12 Pt 3.14, 4 Ta 3.28

Values from the calculation:
The total energy comes out at -6.617 eV per atom. For the formation energy, the calculation gives 0.4 kJ per mole of atoms. Its symmetry is F-43m. As for the density of states at the Fermi level: 6.18 states/eV/cell.

[14]
The following is a DFT calculation (GGA-PBE) of an optimized crystal structure of TaPtPb2.

a = 3.1734 Å, b = 3.1734 Å, c = 8.5568 Å
α = 90.00°, β = 90.00°, γ = 90.00°
Last column: nearest neighbours and their distance in Å.
Element x y z (fractional)
Pb 0.0000 0.0000 0.0148  4 Pt 3.01, 4 Pb 3.17, 4 Ta 3.19
Pb 0.0000 0.0000 0.4852  4 Pt 3.01, 4 Pb 3.17, 4 Ta 3.19
Ta 0.5000 0.5000 0.7500  4 Ta 3.17, 8 Pb 3.19
Pt 0.5000 0.5000 0.2500  8 Pb 3.01, 4 Pt 3.17

Values from the calculation:
The total energy comes out at -5.838 eV per atom. For the formation energy, the calculation gives 47.3 kJ per mole of atoms. Its symmetry is P4/mmm. As for the density of states at the Fermi level: 2.09 states/eV/cell.

[15]
The following is a DFT calculation (GGA-PBE) of an optimized crystal structure of TaPt2Pb.

a = 3.4181 Å, b = 3.4181 Å, c = 6.5834 Å
α = 90.00°, β = 90.00°, γ = 90.00°
Last column: nearest neighbours and their distance in Å.
Element x y z (fractional)
Pt 0.0000 0.0000 0.0269  1 Ta 2.73, 4 Pt 2.87, 4 Pb 2.95
Pt 0.5000 0.5000 0.2617  4 Ta 2.69, 4 Pt 2.87
Pb 0.5000 0.5000 0.7704  5 Pt 2.95-3.23, 4 Ta 3.25
Ta 0.0000 0.0000 0.4410  5 Pt 2.69-2.73

Values from the calculation:
The total energy comes out at -6.998 eV per atom. For the formation energy, the calculation gives -8.4 kJ per mole of atoms. Its symmetry is P4mm. As for the density of states at the Fermi level: 2.38 states/eV/cell.

[16]
The following is a DFT calculation (GGA-PBE) of an optimized crystal structure of TaPt2Pb.

a = 3.0424 Å, b = 3.0424 Å, c = 8.3192 Å
α = 90.00°, β = 90.00°, γ = 89.95°
Last column: nearest neighbours and their distance in Å.
Element x y z (fractional)
Pb 0.5000 0.5000 0.7500  4 Pb 3.04, 8 Pt 3.23
Pt 0.0000 0.0000 0.0390  4 Ta 2.78, 4 Pt 3.04
Pt 0.0000 0.0000 0.4610  4 Ta 2.78, 4 Pt 3.04
Ta 0.5000 0.5000 0.2500  8 Pt 2.78, 4 Ta 3.04

Values from the calculation:
The total energy comes out at -7.238 eV per atom. For the formation energy, the calculation gives -31.6 kJ per mole of atoms. Its symmetry is P4/mmm. As for the density of states at the Fermi level: 3.07 states/eV/cell.

[17]
The following is a DFT calculation (GGA-PBE) of an optimized crystal structure of TaPt2Pb.

a = 4.5281 Å, b = 4.5281 Å, c = 5.8586 Å
α = 79.21°, β = 79.21°, γ = 45.10°
Last column: nearest neighbours and their distance in Å.
Element x y z (fractional)
Ta 0.7500 0.7500 0.7500  6 Pt 2.61-2.74
Pt 0.0272 0.0272 0.9321  3 Ta 2.61-2.74, 2 Pt 2.86, 1 Pb 2.89
Pt 0.4728 0.4728 0.5679  3 Ta 2.61-2.74, 2 Pt 2.86, 1 Pb 2.89
Pb 0.2500 0.2500 0.2500  6 Pt 2.89-3.18

Values from the calculation:
The total energy comes out at -7.060 eV per atom. For the formation energy, the calculation gives -14.4 kJ per mole of atoms. Its symmetry is C2/m. As for the density of states at the Fermi level: 2.39 states/eV/cell.

[18]
The following is a DFT calculation (GGA-PBE) of an optimized crystal structure of TaPt2Pb.

a = 8.4690 Å, b = 8.4690 Å, c = 8.4690 Å
α = 23.45°, β = 23.45°, γ = 23.45°
Last column: nearest neighbours and their distance in Å.
Element x y z (fractional)
Ta 0.2500 0.2500 0.2500  6 Pt 2.61
Pt 0.5146 0.5146 0.5146  3 Ta 2.61
Pt 0.9854 0.9854 0.9854  3 Ta 2.61
Pb 0.7500 0.7500 0.7500  6 Pt 3.13, 6 Pb 3.44

Values from the calculation:
The total energy comes out at -7.170 eV per atom. For the formation energy, the calculation gives -25.1 kJ per mole of atoms. Its symmetry is R-3m. As for the density of states at the Fermi level: 2.61 states/eV/cell.

[19]
The following is a DFT calculation (GGA-PBE) of an optimized crystal structure of TaPtPb2.

a = 5.7367 Å, b = 5.8493 Å, c = 3.1112 Å
α = 84.81°, β = 76.99°, γ = 119.03°
Last column: nearest neighbours and their distance in Å.
Element x y z (fractional)
Ta 0.5000 0.0000 0.5000  4 Pb 2.94, 2 Ta 3.11, 2 Pt 3.19
Pt 0.5000 0.5000 0.0000  4 Pb 2.94, 2 Pt 3.11, 2 Ta 3.19
Pb 0.0000 0.5000 0.5000  2 Ta 2.94, 2 Pt 2.94, 4 Pb 3.11-3.19
Pb 0.0000 0.0000 0.0000  2 Pt 2.94, 2 Ta 2.94, 4 Pb 3.11-3.19

Values from the calculation:
The total energy comes out at -5.924 eV per atom. For the formation energy, the calculation gives 38.9 kJ per mole of atoms. Its symmetry is C2/m. As for the density of states at the Fermi level: 2.38 states/eV/cell.

[20]
The following is a DFT calculation (GGA-PBE) of an optimized crystal structure of TaPtPb2.

a = 5.6156 Å, b = 5.6156 Å, c = 5.6156 Å
α = 135.22°, β = 135.22°, γ = 65.19°
Last column: nearest neighbours and their distance in Å.
Element x y z (fractional)
Pb 0.5000 0.5000 0.0000  4 Pb 3.03, 4 Ta 3.19, 4 Pt 3.19
Pb 0.0000 0.0000 0.0000  4 Pb 3.03, 4 Pt 3.19, 4 Ta 3.19
Ta 0.2500 0.7500 0.5000  4 Pt 3.03, 8 Pb 3.19
Pt 0.7500 0.2500 0.5000  4 Ta 3.03, 8 Pb 3.19

Values from the calculation:
The total energy comes out at -5.811 eV per atom. For the formation energy, the calculation gives 49.9 kJ per mole of atoms. Its symmetry is I4/mmm. As for the density of states at the Fermi level: 3.42 states/eV/cell.